Compound: CaCdPb2
Source: the Alexandria database
Functional: GGA-PBE
Structure: optimized geometry

Output
Calculated formation energy: -0.92 eV/f.u.

Unit cell a=5.531 b=5.531 c=5.531 alpha=60.00 beta=60.00 gamma=60.00
Element x y z (fractional)
Ca 0.000 0.000 0.000
Cd 0.250 0.250 0.250
Pb 0.500 0.500 0.500
Pb 0.750 0.750 0.750

=====

Compound: CaCd6Pb
Source: the Alexandria database
Functional: GGA-PBE
Structure: optimized geometry

Output
ΔE to the lowest computed polymorph: 88.5 meV per atom
Calculated formation energy: -0.20 eV/f.u.

Unit cell a=5.960 b=5.960 c=5.960 alpha=90.00 beta=90.00 gamma=90.00
Element x y z (fractional)
Ca 0.000 0.000 0.000
Cd 0.000 0.250 0.500
Cd 0.000 0.750 0.500
Cd 0.250 0.500 0.000
Cd 0.500 0.000 0.250
Cd 0.500 0.000 0.750
Cd 0.750 0.500 0.000
Pb 0.500 0.500 0.500

=====

Compound: CaCdPb2
Source: the Alexandria database
Functional: GGA-PBE
Structure: optimized geometry

Output
Calculated formation energy: -0.79 eV/f.u.

Unit cell a=3.646 b=5.055 c=6.496 alpha=90.00 beta=96.13 gamma=90.00
Element x y z (fractional)
Ca 0.000 0.000 0.000
Cd 0.500 0.000 0.500
Pb 0.354 0.500 0.751
Pb 0.646 0.500 0.249

=====

Compound: CaCdPb3
Source: the Alexandria database
Functional: GGA-PBE
Structure: optimized geometry

Output
ΔE to the lowest computed polymorph: 0.0 meV per atom
Calculated formation energy: -0.68 eV/f.u.

Unit cell a=6.431 b=6.709 c=7.356 alpha=90.00 beta=102.29 gamma=90.00
Element x y z (fractional)
Ca 0.153 0.250 0.201
Ca 0.847 0.750 0.799
Cd 0.393 0.750 0.016
Cd 0.607 0.250 0.984
Pb 0.070 0.750 0.271
Pb 0.332 0.502 0.648
Pb 0.332 0.998 0.648
Pb 0.668 0.002 0.352
Pb 0.668 0.498 0.352
Pb 0.930 0.250 0.729

=====

Compound: Ca5CdPb6
Source: the Alexandria database
Functional: GGA-PBE
Structure: optimized geometry

Output
Calculated formation energy: -5.12 eV/f.u.

Unit cell a=9.287 b=9.287 c=4.996 alpha=105.54 beta=105.54 gamma=110.35
Element x y z (fractional)
Ca 0.000 0.000 0.000
Ca 0.171 0.829 0.500
Ca 0.350 0.650 0.000
Ca 0.650 0.350 0.000
Ca 0.829 0.171 0.500
Cd 0.500 0.500 0.500
Pb 0.080 0.417 0.248
Pb 0.245 0.245 0.746
Pb 0.417 0.080 0.248
Pb 0.583 0.920 0.752
Pb 0.755 0.755 0.254
Pb 0.920 0.583 0.752

=====

Compound: Ca2Cd3Pb
Source: the Alexandria database
Functional: GGA-PBE
Structure: optimized geometry

Output
ΔE to the lowest computed polymorph: 0.0 meV per atom
Calculated formation energy: -2.16 eV/f.u.

Unit cell a=10.086 b=9.479 c=6.265 alpha=76.68 beta=66.13 gamma=37.19
Element x y z (fractional)
Ca 0.250 0.250 0.250
Ca 0.250 0.750 0.750
Ca 0.750 0.250 0.250
Ca 0.750 0.750 0.750
Cd 0.163 0.163 0.837
Cd 0.163 0.674 0.326
Cd 0.326 0.837 0.163
Cd 0.674 0.163 0.837
Cd 0.837 0.326 0.674
Cd 0.837 0.837 0.163
Pb 0.335 0.335 0.665
Pb 0.665 0.665 0.335

=====

Compound: CaCd3Pb6
Source: the Alexandria database
Functional: GGA-PBE
Structure: optimized geometry

Output
Calculated formation energy: -0.52 eV/f.u.

Unit cell a=10.513 b=4.874 c=11.435 alpha=90.00 beta=97.66 gamma=90.00
Element x y z (fractional)
Ca 0.064 0.250 0.391
Ca 0.936 0.750 0.609
Cd 0.253 0.250 0.000
Cd 0.341 0.750 0.809
Cd 0.444 0.250 0.600
Cd 0.556 0.750 0.400
Cd 0.659 0.250 0.191
Cd 0.747 0.750 0.000
Pb 0.056 0.750 0.906
Pb 0.157 0.750 0.199
Pb 0.161 0.250 0.705
Pb 0.268 0.750 0.513
Pb 0.375 0.250 0.299
Pb 0.453 0.750 0.098
Pb 0.547 0.250 0.902
Pb 0.625 0.750 0.701
Pb 0.732 0.250 0.487
Pb 0.839 0.750 0.295
Pb 0.843 0.250 0.801
Pb 0.944 0.250 0.094

=====

Compound: Ca3CdPb3
Source: the Alexandria database
Functional: GGA-PBE
Structure: optimized geometry

Output
Calculated formation energy: -3.04 eV/f.u.

Unit cell a=6.434 b=6.434 c=15.681 alpha=106.47 beta=106.47 gamma=44.63
Element x y z (fractional)
Ca 0.024 0.024 0.380
Ca 0.099 0.099 0.923
Ca 0.224 0.224 0.225
Ca 0.776 0.776 0.775
Ca 0.901 0.901 0.077
Ca 0.976 0.976 0.620
Cd 0.274 0.274 0.623
Cd 0.726 0.726 0.377
Pb 0.359 0.359 0.454
Pb 0.379 0.379 0.925
Pb 0.498 0.498 0.773
Pb 0.502 0.502 0.227
Pb 0.621 0.621 0.075
Pb 0.641 0.641 0.546

=====

Compound: Ca3Cd2Pb2
Source: the Alexandria database
Functional: GGA-PBE
Structure: optimized geometry

Output
Calculated formation energy: -2.91 eV/f.u.

Unit cell a=5.090 b=6.076 c=7.337 alpha=100.47 beta=90.14 gamma=114.61
Element x y z (fractional)
Ca 0.000 0.000 0.000
Ca 0.369 0.740 0.278
Ca 0.631 0.260 0.722
Cd 0.113 0.226 0.437
Cd 0.887 0.774 0.563
Pb 0.330 0.660 0.792
Pb 0.670 0.340 0.208

=====

Compound: CaCd3Pb
Source: the Alexandria database
Functional: GGA-PBE
Structure: optimized geometry

Output
ΔE to the lowest computed polymorph: 0.0 meV per atom
Calculated formation energy: 1.41 eV/f.u.

Unit cell a=5.712 b=5.712 c=5.712 alpha=90.00 beta=90.00 gamma=90.00
Element x y z (fractional)
Ca 0.000 0.000 0.000
Cd 0.000 0.500 0.500
Cd 0.500 0.000 0.500
Cd 0.500 0.500 0.000
Pb 0.500 0.500 0.500

=====

Compound: Ca2CdPb
Source: the Alexandria database
Functional: GGA-PBE
Structure: optimized geometry

Output
ΔE to the lowest computed polymorph: 148.8 meV per atom
Calculated formation energy: -1.42 eV/f.u.

Unit cell a=6.672 b=6.672 c=6.672 alpha=145.99 beta=132.88 gamma=59.37
Element x y z (fractional)
Ca 0.000 0.000 0.000
Ca 0.718 0.218 0.500
Cd 0.242 0.742 0.500
Pb 0.455 0.455 0.000

=====

Compound: Ca5Cd2Pb
Source: the Alexandria database
Functional: GGA-PBE
Structure: optimized geometry

Output
Calculated formation energy: -2.89 eV/f.u.

Unit cell a=9.677 b=9.677 c=9.677 alpha=129.78 beta=129.78 gamma=73.77
Element x y z (fractional)
Ca 0.000 0.000 0.000
Ca 0.023 0.523 0.842
Ca 0.181 0.023 0.500
Ca 0.319 0.819 0.842
Ca 0.477 0.319 0.500
Ca 0.500 0.500 0.000
Ca 0.523 0.681 0.500
Ca 0.681 0.181 0.158
Ca 0.819 0.977 0.500
Ca 0.977 0.477 0.158
Cd 0.124 0.376 0.500
Cd 0.376 0.876 0.252
Cd 0.624 0.124 0.748
Cd 0.876 0.624 0.500
Pb 0.250 0.250 0.000
Pb 0.750 0.750 0.000

=====

Compound: Ca2Cd2Pb
Source: the Alexandria database
Functional: GGA-PBE
Structure: optimized geometry

Output
ΔE to the lowest computed polymorph: 45.9 meV per atom
Calculated formation energy: -1.73 eV/f.u.

Unit cell a=6.325 b=6.325 c=11.724 alpha=112.42 beta=112.42 gamma=43.91
Element x y z (fractional)
Ca 0.009 0.009 0.333
Ca 0.186 0.186 0.105
Ca 0.814 0.814 0.895
Ca 0.991 0.991 0.667
Cd 0.365 0.365 0.450
Cd 0.462 0.462 0.106
Cd 0.538 0.538 0.894
Cd 0.635 0.635 0.550
Pb 0.285 0.285 0.679
Pb 0.715 0.715 0.321

=====

Compound: CaCdPb2
Source: the Alexandria database
Functional: GGA-PBE
Structure: optimized geometry

Output
Calculated formation energy: -1.01 eV/f.u.

Unit cell a=5.982 b=5.982 c=5.982 alpha=132.12 beta=132.12 gamma=70.04
Element x y z (fractional)
Ca 0.000 0.000 0.000
Cd 0.500 0.500 0.000
Pb 0.250 0.750 0.500
Pb 0.750 0.250 0.500

=====

Compound: CaCd3Pb
Source: the Alexandria database
Functional: GGA-PBE
Structure: optimized geometry

Output
ΔE to the lowest computed polymorph: 288.4 meV per atom
Calculated formation energy: 2.85 eV/f.u.

Unit cell a=5.753 b=5.753 c=5.753 alpha=90.00 beta=90.00 gamma=90.00
Element x y z (fractional)
Ca 0.000 0.000 0.000
Cd 0.000 0.000 0.500
Cd 0.000 0.500 0.000
Cd 0.500 0.000 0.000
Pb 0.500 0.500 0.500

=====

Compound: CaCdPb2
Source: the Alexandria database
Functional: GGA-PBE
Structure: optimized geometry

Output
Calculated formation energy: -0.96 eV/f.u.

Unit cell a=6.423 b=6.423 c=5.609 alpha=112.55 beta=112.55 gamma=33.09
Element x y z (fractional)
Ca 0.000 0.000 0.000
Cd 0.258 0.258 0.614
Pb 0.511 0.511 0.509
Pb 0.753 0.753 0.112

=====

Compound: Ca3CdPb
Source: the Alexandria database
Functional: GGA-PBE
Structure: optimized geometry

Output
ΔE to the lowest computed polymorph: 0.0 meV per atom
Calculated formation energy: -2.04 eV/f.u.

Unit cell a=11.099 b=11.099 c=5.440 alpha=90.00 beta=90.00 gamma=151.64
Element x y z (fractional)
Ca 0.068 0.932 0.750
Ca 0.250 0.750 0.750
Ca 0.431 0.569 0.750
Ca 0.569 0.431 0.250
Ca 0.750 0.250 0.250
Ca 0.932 0.068 0.250
Cd 0.155 0.845 0.250
Cd 0.845 0.155 0.750
Pb 0.341 0.659 0.250
Pb 0.659 0.341 0.750

=====

Compound: Ca2Cd2Pd5Pb
Source: the Alexandria database
Functional: GGA-PBE
Structure: optimized geometry

Output
Calculated formation energy: -4.75 eV/f.u.

Unit cell a=10.215 b=10.215 c=3.931 alpha=90.00 beta=90.00 gamma=90.00
Element x y z (fractional)
Ca 0.172 0.328 0.000
Ca 0.328 0.828 0.000
Ca 0.672 0.172 0.000
Ca 0.828 0.672 0.000
Cd 0.126 0.626 0.000
Cd 0.374 0.126 0.000
Cd 0.626 0.874 0.000
Cd 0.874 0.374 0.000
Pd 0.000 0.500 0.500
Pd 0.065 0.802 0.500
Pd 0.198 0.065 0.500
Pd 0.302 0.565 0.500
Pd 0.435 0.302 0.500
Pd 0.500 0.000 0.500
Pd 0.565 0.698 0.500
Pd 0.698 0.435 0.500
Pd 0.802 0.935 0.500
Pd 0.935 0.198 0.500
Pb 0.000 0.000 0.000
Pb 0.500 0.500 0.000

=====

Compound: CaCd4Pd2Pb
Source: the Alexandria database
Functional: GGA-PBE
Structure: optimized geometry

Output
Calculated formation energy: -0.85 eV/f.u.

Unit cell a=4.086 b=4.086 c=11.961 alpha=90.00 beta=90.00 gamma=90.00
Element x y z (fractional)
Ca 0.000 0.000 0.000
Cd 0.000 0.500 0.225
Cd 0.000 0.500 0.775
Cd 0.500 0.000 0.225
Cd 0.500 0.000 0.775
Pd 0.500 0.500 0.387
Pd 0.500 0.500 0.613
Pb 0.000 0.000 0.500

=====

Compound: CaPrCdPb
Source: the Alexandria database
Functional: GGA-PBE
Structure: optimized geometry

Output
Calculated formation energy: -1.78 eV/f.u.

Unit cell a=5.523 b=5.523 c=5.523 alpha=60.00 beta=60.00 gamma=60.00
Element x y z (fractional)
Ca 0.000 0.000 0.000
Pr 0.500 0.500 0.500
Cd 0.250 0.250 0.250
Pb 0.750 0.750 0.750

=====

Compound: CaPuCdPb
Source: the Alexandria database
Functional: GGA-PBE
Structure: optimized geometry

Output
Calculated formation energy: -0.98 eV/f.u.

Unit cell a=5.466 b=5.466 c=5.466 alpha=60.00 beta=60.00 gamma=60.00
Element x y z (fractional)
Ca 0.000 0.000 0.000
Pu 0.500 0.500 0.500
Cd 0.250 0.250 0.250
Pb 0.750 0.750 0.750

=====

Compound: RbCa2CdPb
Source: the Alexandria database
Functional: GGA-PBE
Structure: optimized geometry

Output
ΔE to the lowest computed polymorph: 711.3 meV per atom
Calculated formation energy: 4.60 eV/f.u.

Unit cell a=6.649 b=6.649 c=5.973 alpha=90.00 beta=90.00 gamma=90.00
Element x y z (fractional)
Rb 0.000 0.000 0.000
Ca 0.000 0.500 0.000
Ca 0.500 0.000 0.000
Cd 0.500 0.500 0.500
Pb 0.000 0.000 0.500

=====

Compound: RbCa2CdPb
Source: the Alexandria database
Functional: GGA-PBE
Structure: optimized geometry

Output
ΔE to the lowest computed polymorph: 0.0 meV per atom
Calculated formation energy: 1.05 eV/f.u.

Unit cell a=6.007 b=6.007 c=6.233 alpha=90.00 beta=90.00 gamma=90.00
Element x y z (fractional)
Rb 0.000 0.000 0.000
Ca 0.000 0.500 0.500
Ca 0.500 0.000 0.500
Cd 0.000 0.000 0.500
Pb 0.500 0.500 0.000

=====

Compound: CaCd2RePb
Source: the Alexandria database
Functional: GGA-PBE
Structure: optimized geometry

Output
Calculated formation energy: 5.66 eV/f.u.

Unit cell a=5.520 b=5.520 c=5.296 alpha=90.00 beta=90.00 gamma=90.00
Element x y z (fractional)
Ca 0.000 0.000 0.000
Cd 0.000 0.500 0.500
Cd 0.500 0.000 0.500
Re 0.500 0.500 0.000
Pb 0.500 0.500 0.500

=====

| no. | electronic total energy (eV per atom) |
| --- | --- |
| 1 | -2.813 |
| 2 | -1.425 |
| 3 | -2.781 |
| 4 | -2.945 |
| 5 | -3.191 |
| 6 | -2.103 |
| 7 | -2.751 |
| 8 | -3.012 |
| 9 | -2.594 |
| 10 | -1.409 |
| 11 | -2.512 |
| 12 | -2.304 |
| 13 | -2.255 |
| 14 | -2.836 |
| 15 | -1.121 |
| 16 | -2.824 |
| 17 | -2.533 |
| 18 | -4.026 |
| 19 | -2.576 |
| 20 | -3.295 |
| 21 | -5.484 |
| 22 | -0.998 |
| 23 | -1.709 |
| 24 | -2.865 |